1.
A relaxed KTlIn2Br4 crystal, computed with PBE.

Results
The total energy is -2.93 eV per atom. The value obtained for the energy relative to the elements, uncorrected is -7.8 eV per formula unit.

Cell lengths 4.734, 8.210, 8.215 Å; angles 70.62, 90.00, 90.00 degrees
Sites, in units of the cell vectors:
Br 0.000 0.750 0.747
Br 0.000 0.250 0.253
Br 0.500 0.749 0.253
Tl 0.500 0.500 0.000
K 0.000 0.500 0.500
Br 0.500 0.251 0.747
In 0.000 0.000 0.000
In 0.500 0.000 0.500


2.
A relaxed KTl2In3Br6 crystal, computed with PBE.

Results
The total energy is -2.91 eV per atom. The value obtained for the energy relative to the elements, uncorrected is -10.8 eV per formula unit.

Cell lengths 4.738, 9.483, 10.599 Å; angles 102.85, 102.92, 90.00 degrees
Sites, in units of the cell vectors:
Br 0.334 0.418 0.668
Tl 0.167 0.330 0.333
In 0.834 0.168 0.669
Br 0.001 0.753 0.003
K 0.500 0.000 0.000
Br 0.999 0.247 0.997
Tl 0.833 0.670 0.667
Br 0.335 0.923 0.670
In 0.166 0.832 0.331
Br 0.665 0.077 0.330
In 0.500 0.500 0.000
Br 0.666 0.582 0.332


3.
A relaxed K2Tl3InBr6 crystal, computed with PBE.

Results
The total energy is -2.96 eV per atom. The value obtained for the energy relative to the elements, uncorrected is -13.5 eV per formula unit.

Cell lengths 4.743, 9.505, 10.623 Å; angles 102.98, 102.90, 90.00 degrees
Sites, in units of the cell vectors:
Br 0.668 0.580 0.336
In 0.500 0.000 0.000
Tl 0.833 0.168 0.666
Br 0.332 0.420 0.664
Br 0.666 0.086 0.333
Tl 0.167 0.832 0.334
Br 0.998 0.751 0.997
K 0.166 0.332 0.333
Tl 0.500 0.500 0.000
Br 0.334 0.914 0.667
Br 0.002 0.249 0.003
K 0.834 0.668 0.667